Entry from the Alexandria database: a geometry-optimized NdTm3Ag structure (PBE-GGA).

Cell lengths 7.080, 7.080, 8.462 Å; angles 85.32, 129.77, 109.45 degrees
Sites, in units of the cell vectors:
Nd: 0.619 0.117 0.736
Nd: 0.381 0.883 0.264
Tm: 0.854 0.945 0.202
Tm: 0.257 0.348 0.202
Tm: 0.743 0.652 0.798
Tm: 0.755 0.410 0.164
Tm: 0.146 0.055 0.798
Tm: 0.245 0.590 0.836
Ag: 0.787 0.665 0.452
Ag: 0.213 0.335 0.548

Properties
- space group = C2/m, No. 12


Entry from the Alexandria database: a geometry-optimized Na2SrFeI structure (PBE-GGA).

Cell lengths 5.637, 5.962, 5.637 Å; angles 90.00, 90.00, 90.00 degrees
Last column: magnetic moment on the atom in μB.
Sites, in units of the cell vectors:
I: 0.500 0.500 0.500  0.00
Sr: 0.000 0.500 0.000  -0.06
Fe: 0.000 0.000 0.000  2.59
Na: 0.000 0.000 0.500  -0.01
Na: 0.500 0.000 0.000  0.00

Properties
- formation energy without anion corrections (eV per atom) = 0.29
- space group = P4/mmm, No. 123


Entry from the Alexandria database: a geometry-optimized BiPCl structure (PBE-GGA).

Cell lengths 4.305, 5.787, 7.802 Å; angles 104.27, 90.02, 100.33 degrees
Sites, in units of the cell vectors:
Bi: 0.295 0.976 0.141
Bi: 0.035 0.561 0.490
P: 0.743 0.379 0.160
P: 0.560 0.694 0.313
Cl: 0.290 0.167 0.523
Cl: 0.539 0.786 0.844

Properties
- formation energy without anion corrections (eV per atom) = -0.29
- relative energy among the computed polymorphs (eV/atom) = 0.1220
- space group = P1, No. 1


Entry from the Alexandria database: a geometry-optimized ZrInW2 structure (PBE-GGA).

Cell lengths 2.781, 4.641, 5.842 Å; angles 90.00, 90.00, 90.00 degrees
Sites, in units of the cell vectors:
In: 0.500 0.500 0.750
W: 0.000 0.000 0.987
W: 0.000 0.000 0.513
Zr: 0.500 0.500 0.250

Properties
- space group = Pmmm, No. 47


Entry from the Alexandria database: a geometry-optimized Rb2ScPaTe4 structure (PBE-GGA).

Cell lengths 4.395, 7.638, 9.007 Å; angles 106.24, 90.00, 90.00 degrees
Last column: magnetic moment on the atom in μB.
Sites, in units of the cell vectors:
Rb: 0.500 0.000 0.500  0.00
Rb: 0.000 0.500 0.500  0.00
Sc: 0.000 0.000 0.000  0.26
Pa: 0.500 0.500 0.000  1.35
Te: 0.500 0.222 0.194  -0.02
Te: 0.500 0.778 0.806  -0.02
Te: 0.000 0.255 0.798  -0.03
Te: 0.000 0.745 0.202  -0.03

Properties
- formation energy without anion corrections (eV per atom) = -1.06
- space group = P2/m, No. 10


Computed values of final energy (unit: eV/atom) for the preceding records, in sequence: -4.198; -2.580; -4.007; -8.807; -4.851.